# 1
KPdSeCl6 | PBE | relaxed

a = 6.871 Å, b = 6.871 Å, c = 6.565 Å
α = 97.21°, β = 97.21°, γ = 106.27°
Atoms (fractional coordinates):
K 0.000 0.000 0.000
Pd 0.306 0.694 0.500
Se 0.646 0.354 0.500
Cl 0.001 0.680 0.300
Cl 0.320 0.999 0.700
Cl 0.324 0.407 0.278
Cl 0.593 0.676 0.722
Cl 0.633 0.076 0.269
Cl 0.924 0.367 0.731



# 2
KTbPdCl6 | PBE | relaxed

a = 6.737 Å, b = 6.737 Å, c = 7.075 Å
α = 90.00°, β = 90.00°, γ = 120.00°
Atoms (fractional coordinates):
K 0.000 0.000 0.000
Tb 0.667 0.333 0.500
Pd 0.333 0.667 0.500
Cl 0.012 0.373 0.712
Cl 0.012 0.640 0.288
Cl 0.360 0.373 0.288
Cl 0.360 0.988 0.712
Cl 0.627 0.640 0.712
Cl 0.627 0.988 0.288



# 3
KTcPdCl6 | PBE | relaxed

a = 6.439 Å, b = 6.452 Å, c = 6.783 Å
α = 93.25°, β = 93.57°, γ = 112.85°
Atoms (fractional coordinates):
K 0.000 0.000 0.000
Tc 0.628 0.370 0.499
Pd 0.286 0.714 0.500
Cl 0.330 0.416 0.287
Cl 0.340 0.082 0.652
Cl 0.585 0.666 0.712
Cl 0.640 0.101 0.260
Cl 0.900 0.355 0.735
Cl 0.916 0.659 0.347



# 4
KTlPd2Cl | PBE | relaxed

a = 5.146 Å, b = 5.146 Å, c = 6.132 Å
α = 90.00°, β = 90.00°, γ = 90.00°
Atoms (fractional coordinates):
K 0.000 0.000 0.000
Tl 0.500 0.500 0.500
Pd 0.000 0.500 0.500
Pd 0.500 0.000 0.500
Cl 0.500 0.500 0.000



# 5
KTl2PdCl6 | PBE | relaxed

a = 7.128 Å, b = 7.128 Å, c = 7.657 Å
α = 90.00°, β = 90.00°, γ = 120.00°
Atoms (fractional coordinates):
K 0.000 0.000 0.000
Tl 0.333 0.667 0.378
Tl 0.667 0.333 0.622
Pd 0.000 0.000 0.500
Cl 0.162 0.324 0.684
Cl 0.162 0.838 0.684
Cl 0.324 0.162 0.316
Cl 0.676 0.838 0.684
Cl 0.838 0.162 0.316
Cl 0.838 0.676 0.316



# 6
KTl2PdCl5 | PBE | relaxed

a = 9.840 Å, b = 9.840 Å, c = 9.840 Å
α = 130.09°, β = 130.09°, γ = 73.27°
Atoms (fractional coordinates):
K 0.250 0.250 0.000
K 0.750 0.750 0.000
Tl 0.163 0.663 0.825
Tl 0.337 0.163 0.500
Tl 0.663 0.837 0.500
Tl 0.837 0.337 0.175
Pd 0.250 0.750 0.500
Pd 0.750 0.250 0.500
Cl 0.000 0.000 0.000
Cl 0.004 0.204 0.500
Cl 0.204 0.704 0.200
Cl 0.296 0.496 0.500
Cl 0.496 0.996 0.200
Cl 0.500 0.500 0.000
Cl 0.504 0.004 0.800
Cl 0.704 0.504 0.500
Cl 0.796 0.296 0.800
Cl 0.996 0.796 0.500



# 7
K2TlPdCl | PBE | relaxed

- Energy above the lowest structure with this stoichiometry: 0.0850 eV per atom

a = 6.661 Å, b = 6.661 Å, c = 5.077 Å
α = 90.00°, β = 90.00°, γ = 90.00°
Atoms (fractional coordinates):
K 0.000 0.500 0.000
K 0.500 0.000 0.000
Tl 0.000 0.000 0.000
Pd 0.000 0.000 0.500
Cl 0.500 0.500 0.500



# 8
KTl2PdCl8 | PBE | relaxed

a = 10.725 Å, b = 10.725 Å, c = 10.725 Å
α = 35.49°, β = 35.49°, γ = 35.49°
Atoms (fractional coordinates):
K 0.000 0.000 0.000
Tl 0.247 0.247 0.247
Tl 0.753 0.753 0.753
Pd 0.500 0.500 0.500
Cl 0.149 0.413 0.767
Cl 0.233 0.587 0.851
Cl 0.330 0.330 0.330
Cl 0.413 0.767 0.149
Cl 0.587 0.851 0.233
Cl 0.670 0.670 0.670
Cl 0.767 0.149 0.413
Cl 0.851 0.233 0.587



# 9
KTlPdCl6 | PBE | relaxed

a = 6.742 Å, b = 6.742 Å, c = 6.942 Å
α = 90.00°, β = 90.00°, γ = 120.00°
Atoms (fractional coordinates):
K 0.000 0.000 0.000
Tl 0.667 0.333 0.500
Pd 0.333 0.667 0.500
Cl 0.012 0.375 0.711
Cl 0.012 0.637 0.289
Cl 0.363 0.375 0.289
Cl 0.363 0.988 0.711
Cl 0.625 0.637 0.711
Cl 0.625 0.988 0.289



# 10
K2TlPdCl | PBE | relaxed

- Energy above the lowest structure with this stoichiometry: 0.0000 eV per atom

a = 5.991 Å, b = 5.991 Å, c = 4.781 Å
α = 90.00°, β = 90.00°, γ = 90.00°
Atoms (fractional coordinates):
K 0.000 0.500 0.000
K 0.500 0.000 0.000
Tl 0.000 0.000 0.500
Pd 0.500 0.500 0.500
Cl 0.500 0.500 0.000



# 11
K2Pm2Cl7 | PBE | relaxed

a = 6.872 Å, b = 6.872 Å, c = 7.358 Å
α = 90.00°, β = 90.00°, γ = 96.38°
Atoms (fractional coordinates):
K 0.243 0.243 0.000
K 0.757 0.757 0.000
Pm 0.279 0.721 0.500
Pm 0.721 0.279 0.500
Cl 0.000 0.000 0.500
Cl 0.000 0.500 0.266
Cl 0.000 0.500 0.734
Cl 0.500 0.000 0.266
Cl 0.500 0.000 0.734
Cl 0.500 0.500 0.273
Cl 0.500 0.500 0.727



# 12
KPm4Cl12 | PBE | relaxed

a = 9.203 Å, b = 9.203 Å, c = 9.203 Å
α = 110.65°, β = 108.90°, γ = 108.87°
Atoms (fractional coordinates):
K 0.000 0.000 0.000
Pm 0.000 0.000 0.500
Pm 0.000 0.500 0.000
Pm 0.500 0.000 0.000
Pm 0.500 0.500 0.500
Cl 0.000 0.303 0.697
Cl 0.000 0.697 0.303
Cl 0.251 0.061 0.810
Cl 0.251 0.440 0.190
Cl 0.252 0.190 0.442
Cl 0.252 0.810 0.062
Cl 0.395 0.697 0.697
Cl 0.605 0.303 0.303
Cl 0.748 0.190 0.938
Cl 0.748 0.810 0.558
Cl 0.749 0.560 0.810
Cl 0.749 0.939 0.190



Calculated theoretical density in order - 2.5 3.1 2.9 5.0 3.8 4.5 3.1 3.7 3.4 4.1 3.0 2.9 g/cm3
Calculated E_form (uncorrected) in order - -0.692 -1.565 -0.846 -0.077 -0.957 -0.913 -0.272 -0.706 -0.861 -0.357 -2.038 -2.157 eV/atom